[1]
Density functional theory data (PBE) for a relaxed Sr4SnN crystal.

Results
DOS at the Fermi energy (states/eV per cell): 3.7
Raw formation energy (meV/atom): -190
Crystal system: tetragonal

Structure (CIF):
```
data_Sr4SnN
_symmetry_space_group_name_H-M 'P 4/m m m'
_symmetry_Int_Tables_number 123
_symmetry_space_group_name_Hall '-P 4 2'
_cell_length_a 5.049
_cell_length_b 5.049
_cell_length_c 8.645
_cell_angle_alpha 90.00
_cell_angle_beta 90.00
_cell_angle_gamma 90.00
loop_
_atom_site_label
_atom_site_type_symbol
_atom_site_fract_x
_atom_site_fract_y
_atom_site_fract_z
Sr1 Sr 0.000 0.000 0.193
Sr2 Sr 0.000 0.500 0.500
Sn1 Sn 0.500 0.500 0.000
N1 N 0.000 0.000 0.500
```

***

[2]
Density functional theory data (PBE) for a relaxed Nd6GeRu2I3 crystal.

Results
DOS at the Fermi energy (states/eV per cell): 18.3
Raw formation energy (meV/atom): -751
Crystal system: monoclinic

Structure (CIF):
```
data_Nd6GeRu2I3
_symmetry_space_group_name_H-M 'C 1 2/m 1'
_symmetry_Int_Tables_number 12
_cell_length_a 7.367
_cell_length_b 12.770
_cell_length_c 8.407
_cell_angle_alpha 90.00
_cell_angle_beta 107.15
_cell_angle_gamma 90.00
loop_
_symmetry_equiv_pos_as_xyz
'x,y,z'
'-x,-y,-z'
'-x,y,-z'
'x,-y,z'
'x+1/2,y+1/2,z'
'-x+1/2,-y+1/2,-z'
'-x+1/2,y+1/2,-z'
'x+1/2,-y+1/2,z'
loop_
_atom_site_label
_atom_site_type_symbol
_atom_site_fract_x
_atom_site_fract_y
_atom_site_fract_z
Nd1 Nd 0.212 0.000 0.187
Nd2 Nd 0.237 0.324 0.188
Ge1 Ge 0.000 0.500 0.000
Ru1 Ru 0.000 0.167 0.000
I1 I 0.000 0.000 0.500
I2 I 0.000 0.337 0.500
```

***

[3]
Density functional theory data (PBE) for a relaxed HRh3Br crystal.

Results
DOS at the Fermi energy (states/eV per cell): 5.5
Energy (eV per cell): -18.923
Crystal system: cubic

Structure (CIF):
```
data_HRh3Br
_symmetry_space_group_name_H-M 'P m -3 m'
_symmetry_Int_Tables_number 221
_symmetry_space_group_name_Hall '-P 4 2 3'
_cell_length_a 4.610
_cell_length_b 4.610
_cell_length_c 4.610
_cell_angle_alpha 90.00
_cell_angle_beta 90.00
_cell_angle_gamma 90.00
loop_
_atom_site_label
_atom_site_type_symbol
_atom_site_fract_x
_atom_site_fract_y
_atom_site_fract_z
H1 H 0.000 0.000 0.000
Rh1 Rh 0.000 0.500 0.500
Br1 Br 0.500 0.500 0.500
```